Density functional theory data (PBEsol) for crystalline CdNi2Os at its relaxed geometry.

Output
**Energy relative to the elements**: 0.122 eV per atom
**Magnetization**: 0.00 μB/atom
**Symmetry**: P4/mmm, No. 123
**Energy**: -6.31 eV/atom

Lattice parameters (Å, degrees): 2.671 2.671 7.441 90.00 90.00 90.00
Fractional coordinates of all 4 atoms:
1 Cd 0.000 0.000 0.000
2 Ni 0.500 0.500 0.271
3 Ni 0.500 0.500 0.729
4 Os 0.000 0.000 0.500

=====

Density functional theory data (PBEsol) for crystalline CdNi2Os at its relaxed geometry.

Output
**Energy relative to the elements**: 0.264 eV per atom
**Magnetization**: 0.00 μB/atom
**Symmetry**: Cm, No. 8
**Energy**: -6.17 eV/atom

Lattice parameters (Å, degrees): 4.728 4.728 4.546 104.23 104.23 32.50
Fractional coordinates of all 4 atoms:
1 Cd 0.000 0.000 0.000
2 Ni 0.242 0.242 0.807
3 Ni 0.516 0.516 0.506
4 Os 0.775 0.775 0.349

=====

Density functional theory data (PBEsol) for crystalline CdNi2Os at its relaxed geometry.

Output
**Energy relative to the elements**: 0.283 eV per atom
**Magnetization**: 0.00 μB/atom
**Symmetry**: P4mm, No. 99
**Energy**: -6.15 eV/atom

Lattice parameters (Å, degrees): 2.740 2.740 7.102 90.00 90.00 90.00
Fractional coordinates of all 4 atoms:
1 Cd 0.000 0.000 0.000
2 Ni 0.000 0.000 0.472
3 Ni 0.500 0.500 0.268
4 Os 0.500 0.500 0.689

=====

Density functional theory data (PBEsol) for crystalline CdNi2P at its relaxed geometry.

Output
**Energy relative to the elements**: -0.221 eV per atom
**Magnetization**: 0.00 μB/atom
**Symmetry**: P4/mmm, No. 123
**Energy**: -5.05 eV/atom

Lattice parameters (Å, degrees): 2.824 2.824 6.409 90.00 90.00 90.00
Fractional coordinates of all 4 atoms:
1 Cd 0.000 0.000 0.000
2 Ni 0.500 0.500 0.308
3 Ni 0.500 0.500 0.692
4 P 0.000 0.000 0.500

=====

Density functional theory data (PBEsol) for crystalline CdNi2P at its relaxed geometry.

Output
**Energy relative to the elements**: -0.158 eV per atom
**Magnetization**: 0.00 μB/atom
**Symmetry**: Imm2, No. 44
**Energy**: -4.98 eV/atom

Lattice parameters (Å, degrees): 6.620 6.620 6.620 156.10 151.29 37.70
Fractional coordinates of all 4 atoms:
1 Cd 0.000 0.000 0.000
2 Ni 0.320 0.820 0.500
3 Ni 0.631 0.631 0.000
4 P 0.766 0.266 0.500

=====

Density functional theory data (PBEsol) for crystalline CdNi2P at its relaxed geometry.

Output
**Energy relative to the elements**: 0.041 eV per atom
**Magnetization**: 0.00 μB/atom
**Symmetry**: P4/mmm, No. 123
**Energy**: -4.78 eV/atom

Lattice parameters (Å, degrees): 4.061 4.061 3.121 90.00 90.00 90.00
Fractional coordinates of all 4 atoms:
1 Cd 0.000 0.000 0.000
2 Ni 0.000 0.500 0.500
3 Ni 0.500 0.000 0.500
4 P 0.500 0.500 0.000

=====

Density functional theory data (PBEsol) for crystalline CdNiP3 at its relaxed geometry.

Output
**Energy relative to the elements**: 0.527 eV per atom
**Magnetization**: 0.00 μB/atom
**Symmetry**: Pm-3m, No. 221
**Energy**: -4.42 eV/atom

Lattice parameters (Å, degrees): 4.419 4.419 4.419 90.00 90.00 90.00
Fractional coordinates of all 5 atoms:
1 Cd 0.000 0.000 0.000
2 Ni 0.500 0.500 0.500
3 P 0.000 0.500 0.500
4 P 0.500 0.000 0.500
5 P 0.500 0.500 0.000

=====

Density functional theory data (PBEsol) for crystalline CdNiP2S at its relaxed geometry.

Output
**Magnetization**: 0.14 μB/atom
**Symmetry**: P4/mmm, No. 123
**Energy relative to the elements, uncorrected**: 1.61 eV/atom
**Energy**: -3.05 eV/atom

Lattice parameters (Å, degrees): 4.817 4.817 4.858 90.00 90.00 90.00
Fractional coordinates of all 5 atoms:
1 Cd 0.000 0.000 0.000
2 Ni 0.500 0.500 0.500
3 P 0.000 0.500 0.000
4 P 0.500 0.000 0.000
5 S 0.000 0.000 0.500

=====

Density functional theory data (PBEsol) for crystalline Cd2NiPb at its relaxed geometry.

Output
**Energy relative to the elements**: 0.076 eV per atom
**Magnetization**: 0.00 μB/atom
**Symmetry**: Imm2, No. 44
**Energy**: -3.06 eV/atom

Lattice parameters (Å, degrees): 6.900 6.900 6.900 154.78 143.14 45.19
Fractional coordinates of all 4 atoms:
1 Cd 0.000 0.000 0.000
2 Cd 0.664 0.164 0.500
3 Ni 0.174 0.674 0.500
4 Pb 0.354 0.354 0.000

=====

Density functional theory data (PBEsol) for crystalline Cd2NiPb at its relaxed geometry.

Output
**Energy relative to the elements**: 0.351 eV per atom
**Magnetization**: 0.00 μB/atom
**Symmetry**: Fm-3m, No. 225
**Energy**: -2.79 eV/atom

Lattice parameters (Å, degrees): 4.846 4.846 4.846 60.00 60.00 60.00
Fractional coordinates of all 4 atoms:
1 Cd 0.250 0.250 0.250
2 Cd 0.750 0.750 0.750
3 Ni 0.000 0.000 0.000
4 Pb 0.500 0.500 0.500

=====

Density functional theory data (PBEsol) for crystalline CdNi2Pb at its relaxed geometry.

Output
**Energy relative to the elements**: 0.219 eV per atom
**Magnetization**: 0.00 μB/atom
**Symmetry**: Imm2, No. 44
**Energy**: -4.16 eV/atom

Lattice parameters (Å, degrees): 5.381 5.381 5.381 144.82 133.76 59.40
Fractional coordinates of all 4 atoms:
1 Cd 0.000 0.000 0.000
2 Ni 0.271 0.771 0.500
3 Ni 0.475 0.475 0.000
4 Pb 0.722 0.222 0.500

=====

Density functional theory data (PBEsol) for crystalline Cd2NiPb at its relaxed geometry.

Output
**Energy relative to the elements**: 0.208 eV per atom
**Magnetization**: 0.00 μB/atom
**Symmetry**: R-3m, No. 166
**Energy**: -2.93 eV/atom

Lattice parameters (Å, degrees): 9.488 9.488 9.488 19.36 19.36 19.36
Fractional coordinates of all 4 atoms:
1 Cd 0.233 0.233 0.233
2 Cd 0.767 0.767 0.767
3 Ni 0.500 0.500 0.500
4 Pb 0.000 0.000 0.000

=====

Density functional theory data (PBEsol) for crystalline Cd2ReNiPd at its relaxed geometry.

Output
**Energy relative to the elements**: 1.660 eV per atom
**Magnetization**: 0.88 μB/atom
**Symmetry**: P4/mmm, No. 123
**Energy**: -3.91 eV/atom

Lattice parameters (Å, degrees): 4.897 4.897 4.467 90.00 90.00 90.00
Fractional coordinates of all 5 atoms:
1 Cd 0.000 0.500 0.000
2 Cd 0.500 0.000 0.000
3 Re 0.000 0.000 0.500
4 Ni 0.500 0.500 0.500
5 Pd 0.500 0.500 0.000

=====

Density functional theory data (PBEsol) for crystalline PrCd20Ni2 at its relaxed geometry.

Output
**Energy relative to the elements**: -0.116 eV per atom
**Magnetization**: 0.00 μB/atom
**Symmetry**: Fd-3m, No. 227
**Energy**: -1.92 eV/atom

Lattice parameters (Å, degrees): 10.910 10.910 10.910 60.00 60.00 60.00
Fractional coordinates of all 46 atoms:
1 Pr 0.125 0.125 0.125
2 Pr 0.875 0.875 0.875
3 Cd 0.000 0.000 0.000
4 Cd 0.000 0.000 0.500
5 Cd 0.000 0.500 0.000
6 Cd 0.056 0.325 0.325
7 Cd 0.056 0.325 0.794
8 Cd 0.056 0.794 0.325
9 Cd 0.206 0.675 0.675
10 Cd 0.206 0.675 0.944
11 Cd 0.206 0.944 0.675
12 Cd 0.239 0.239 0.511
13 Cd 0.239 0.511 0.239
14 Cd 0.239 0.511 0.511
15 Cd 0.325 0.056 0.325
16 Cd 0.325 0.056 0.794
17 Cd 0.325 0.325 0.056
18 Cd 0.325 0.325 0.794
19 Cd 0.325 0.794 0.056
20 Cd 0.325 0.794 0.325
21 Cd 0.489 0.489 0.761
22 Cd 0.489 0.761 0.489
23 Cd 0.489 0.761 0.761
24 Cd 0.500 0.000 0.000
25 Cd 0.511 0.239 0.239
26 Cd 0.511 0.239 0.511
27 Cd 0.511 0.511 0.239
28 Cd 0.675 0.206 0.675
29 Cd 0.675 0.206 0.944
30 Cd 0.675 0.675 0.206
31 Cd 0.675 0.675 0.944
32 Cd 0.675 0.944 0.206
33 Cd 0.675 0.944 0.675
34 Cd 0.761 0.489 0.489
35 Cd 0.761 0.489 0.761
36 Cd 0.761 0.761 0.489
37 Cd 0.794 0.056 0.325
38 Cd 0.794 0.325 0.056
39 Cd 0.794 0.325 0.325
40 Cd 0.944 0.206 0.675
41 Cd 0.944 0.675 0.206
42 Cd 0.944 0.675 0.675
43 Ni 0.000 0.500 0.500
44 Ni 0.500 0.000 0.500
45 Ni 0.500 0.500 0.000
46 Ni 0.500 0.500 0.500

=====

Density functional theory data (PBEsol) for crystalline PrCdNi4 at its relaxed geometry.

Output
**Energy relative to the elements**: -0.269 eV per atom
**Magnetization**: 0.00 μB/atom
**Symmetry**: F-43m, No. 216
**Energy**: -5.44 eV/atom

Lattice parameters (Å, degrees): 4.973 4.973 4.973 60.00 60.00 60.00
Fractional coordinates of all 6 atoms:
1 Pr 0.000 0.000 0.000
2 Cd 0.750 0.750 0.750
3 Ni 0.376 0.376 0.376
4 Ni 0.376 0.376 0.871
5 Ni 0.376 0.871 0.376
6 Ni 0.871 0.376 0.376

=====

Density functional theory data (PBEsol) for crystalline CdNiPt2 at its relaxed geometry.

Output
**Energy relative to the elements**: -0.072 eV per atom
**Magnetization**: 0.15 μB/atom
**Symmetry**: Cm, No. 8
**Energy**: -5.39 eV/atom

Lattice parameters (Å, degrees): 4.750 4.750 4.779 100.46 100.46 34.09
Fractional coordinates of all 4 atoms:
1 Cd 0.000 0.000 0.000
2 Ni 0.250 0.250 0.735
3 Pt 0.509 0.509 0.514
4 Pt 0.757 0.757 0.262

=====

Density functional theory data (PBEsol) for crystalline Cd2NiPt at its relaxed geometry.

Output
**Energy relative to the elements**: -0.136 eV per atom
**Magnetization**: 0.00 μB/atom
**Symmetry**: I4/mmm, No. 139
**Energy**: -4.01 eV/atom

Lattice parameters (Å, degrees): 4.725 4.725 4.725 128.48 128.48 75.85
Fractional coordinates of all 4 atoms:
1 Cd 0.250 0.750 0.500
2 Cd 0.750 0.250 0.500
3 Ni 0.000 0.000 0.000
4 Pt 0.500 0.500 0.000

=====

Density functional theory data (PBEsol) for crystalline CdNiPt2 at its relaxed geometry.

Output
**Energy relative to the elements**: -0.062 eV per atom
**Magnetization**: 0.19 μB/atom
**Symmetry**: I-4m2, No. 119
**Energy**: -5.38 eV/atom

Lattice parameters (Å, degrees): 4.743 4.743 4.743 131.09 131.09 71.67
Fractional coordinates of all 4 atoms:
1 Cd 0.000 0.000 0.000
2 Ni 0.750 0.250 0.500
3 Pt 0.250 0.750 0.500
4 Pt 0.500 0.500 0.000

=====

Density functional theory data (PBEsol) for crystalline Cd2NiPt at its relaxed geometry.

Output
**Energy relative to the elements**: -0.111 eV per atom
**Magnetization**: 0.00 μB/atom
**Symmetry**: Cmmm, No. 65
**Energy**: -3.99 eV/atom

Lattice parameters (Å, degrees): 4.718 4.718 2.927 90.00 90.00 104.29
Fractional coordinates of all 4 atoms:
1 Cd 0.000 0.500 0.000
2 Cd 0.500 0.000 0.000
3 Ni 0.000 0.000 0.500
4 Pt 0.500 0.500 0.500

=====

Density functional theory data (PBEsol) for crystalline CdNiPt2 at its relaxed geometry.

Output
**Energy relative to the elements**: -0.065 eV per atom
**Magnetization**: 0.14 μB/atom
**Symmetry**: P4mm, No. 99
**Energy**: -5.39 eV/atom

Lattice parameters (Å, degrees): 2.788 2.788 7.564 90.00 90.00 90.00
Fractional coordinates of all 4 atoms:
1 Cd 0.000 0.000 0.000
2 Ni 0.500 0.500 0.248
3 Pt 0.000 0.000 0.464
4 Pt 0.500 0.500 0.726